1.
Compound: Zr4TlC3
Source: OQMD via LeMat-Bulk
Functional: PBE-GGA
Structure: optimized geometry

Cell: 3.3776 3.3776 25.8391 Å, 90.00 90.00 120.00°
Atoms (fractional coordinates):
Zr: 0.0000 0.0000 0.6516
Zr: 0.0000 0.0000 0.1516
Zr: 0.6667 0.3333 0.9496
Zr: 0.3333 0.6667 0.4496
Zr: 0.0000 0.0000 0.8484
Zr: 0.0000 0.0000 0.3484
Zr: 0.3333 0.6667 0.0504
Zr: 0.6667 0.3333 0.5504
Tl: 0.3333 0.6667 0.2500
Tl: 0.6667 0.3333 0.7500
C: 0.6667 0.3333 0.1078
C: 0.6667 0.3333 0.3922
C: 0.0000 0.0000 0.5000
C: 0.3333 0.6667 0.8922
C: 0.0000 0.0000 0.0000
C: 0.3333 0.6667 0.6078

## Properties
- space-group type = P6_3/mmc

2.
Compound: Zr3TlC
Source: OQMD via LeMat-Bulk
Functional: PBE-GGA
Structure: optimized geometry

Cell: 6.3130 6.3130 9.3201 Å, 90.00 90.00 148.38°
Atoms (fractional coordinates):
Zr: 0.0351 0.9649 0.2500
Zr: 0.3782 0.6218 0.4597
Zr: 0.3782 0.6218 0.0403
Zr: 0.6218 0.3782 0.9597
Zr: 0.6218 0.3782 0.5403
Zr: 0.9649 0.0351 0.7500
Tl: 0.2541 0.7459 0.7500
Tl: 0.7459 0.2541 0.2500
C: 0.0000 0.0000 0.0000
C: 0.0000 0.0000 0.5000

## Properties
- space-group type = Cmcm

3.
Compound: Tm15C19
Source: OQMD via LeMat-Bulk
Functional: PBE-GGA
Structure: optimized geometry

Cell: 7.9942 7.9942 15.2511 Å, 90.00 90.00 90.00°
Atoms (fractional coordinates):
C: 0.4043 0.1967 0.8294
C: 0.3490 0.1515 0.2497
C: 0.3033 0.0957 0.3294
C: 0.3029 0.0960 0.6699
C: 0.6967 0.9043 0.3294
C: 0.8490 0.3485 0.2503
C: 0.1515 0.6510 0.7503
C: 0.6515 0.8490 0.7497
C: 0.1510 0.6515 0.2503
C: 0.6971 0.9040 0.6699
C: 0.0957 0.6967 0.6706
C: 0.9043 0.3033 0.6706
C: 0.5000 0.5000 0.6633
C: 0.8979 0.6976 0.0000
C: 0.6976 0.1021 0.0000
C: 0.0960 0.6971 0.3301
C: 0.8029 0.4040 0.8301
C: 0.5957 0.8033 0.8294
C: 0.6021 0.1976 0.5000
C: 0.0000 0.0000 0.5000
C: 0.5960 0.8029 0.1699
C: 0.3485 0.1510 0.7497
C: 0.8024 0.6021 0.5000
C: 0.1971 0.5960 0.8301
C: 0.0000 0.0000 0.8367
C: 0.5000 0.5000 0.0000
C: 0.3979 0.8024 0.5000
C: 0.3024 0.8979 0.0000
C: 0.0000 0.0000 0.1633
C: 0.6510 0.8485 0.2497
C: 0.9040 0.3029 0.3301
C: 0.1976 0.3979 0.5000
C: 0.8485 0.3490 0.7503
C: 0.1021 0.3024 0.0000
C: 0.1967 0.5957 0.1706
C: 0.4040 0.1971 0.1699
C: 0.8033 0.4043 0.1706
C: 0.5000 0.5000 0.3367
Tm: 0.0984 0.2847 0.8504
Tm: 0.2845 0.9016 0.8506
Tm: 0.9016 0.7153 0.8504
Tm: 0.0000 0.0000 0.3310
Tm: 0.0000 0.0000 0.6690
Tm: 0.4065 0.2029 0.0000
Tm: 0.4016 0.7847 0.6496
Tm: 0.2155 0.4016 0.6494
Tm: 0.0935 0.7029 0.5000
Tm: 0.7847 0.5984 0.3504
Tm: 0.0984 0.2845 0.1494
Tm: 0.9065 0.2971 0.5000
Tm: 0.2153 0.4016 0.3504
Tm: 0.2971 0.0935 0.5000
Tm: 0.5984 0.2155 0.3506
Tm: 0.5000 0.5000 0.8310
Tm: 0.5000 0.5000 0.5000
Tm: 0.5000 0.5000 0.1690
Tm: 0.5984 0.2153 0.6496
Tm: 0.7153 0.0984 0.1496
Tm: 0.2029 0.5935 0.0000
Tm: 0.9016 0.7155 0.1494
Tm: 0.5935 0.7971 0.0000
Tm: 0.7845 0.5984 0.6494
Tm: 0.0000 0.0000 0.0000
Tm: 0.2847 0.9016 0.1496
Tm: 0.7971 0.4065 0.0000
Tm: 0.7155 0.0984 0.8506
Tm: 0.7029 0.9065 0.5000
Tm: 0.4016 0.7845 0.3506

## Properties
- space-group type = P-42_1c

4.
Compound: Tm4C3
Source: OQMD via LeMat-Bulk
Functional: PBE-GGA
Structure: optimized geometry

Cell: 6.6714 6.6714 6.6714 Å, 109.47 109.47 109.47°
Atoms (fractional coordinates):
Tm: 0.0000 0.9056 0.5000
Tm: 0.4056 0.5000 0.0000
Tm: 0.5000 0.0000 0.4056
Tm: 0.0944 0.0944 0.0944
Tm: 0.5944 0.5944 0.5944
Tm: 0.0000 0.4056 0.5000
Tm: 0.5000 0.0000 0.9056
Tm: 0.9056 0.5000 0.0000
C: 0.3750 0.2500 0.6250
C: 0.8750 0.1250 0.7500
C: 0.2500 0.6250 0.3750
C: 0.7500 0.8750 0.1250
C: 0.6250 0.3750 0.2500
C: 0.1250 0.7500 0.8750

## Properties
- space-group type = I-43d

5.
Compound: Tm4C7
Source: OQMD via LeMat-Bulk
Functional: PBE-GGA
Structure: optimized geometry

Cell: 3.4847 3.5734 11.3942 Å, 82.53 85.47 89.82°
Atoms (fractional coordinates):
C: 0.4955 0.1627 0.4598
C: 0.4690 0.7160 0.6634
C: 0.9031 0.1438 0.8901
C: 0.0969 0.8562 0.1099
C: 0.5310 0.2840 0.3366
C: 0.0000 0.0000 0.0000
C: 0.5045 0.8373 0.5402
Tm: 0.0251 0.7759 0.3581
Tm: 0.5825 0.3588 0.1431
Tm: 0.4175 0.6412 0.8569
Tm: 0.9749 0.2241 0.6419

## Properties
- space-group type = P-1

6.
Compound: Tm2C3
Source: OQMD via LeMat-Bulk
Functional: PBE-GGA
Structure: optimized geometry

Cell: 6.9920 6.9920 6.9920 Å, 109.47 109.47 109.47°
Atoms (fractional coordinates):
C: 0.7917 0.7500 0.5417
C: 0.0417 0.7917 0.2500
C: 0.2917 0.5417 0.7500
C: 0.7500 0.0417 0.2917
C: 0.2083 0.9583 0.2500
C: 0.4583 0.7083 0.7500
C: 0.7500 0.2083 0.4583
C: 0.2500 0.2917 0.0417
C: 0.2500 0.4583 0.2083
C: 0.7083 0.2500 0.9583
C: 0.9583 0.7500 0.7083
C: 0.5417 0.2500 0.7917
Tm: 0.4001 0.0000 0.0000
Tm: 0.5000 0.4001 0.5000
Tm: 0.5000 0.9001 0.5000
Tm: 0.9001 0.0000 0.0000
Tm: 0.0000 0.5000 0.9001
Tm: 0.0999 0.0999 0.5999
Tm: 0.5999 0.5999 0.0999
Tm: 0.0000 0.5000 0.4001

## Properties
- space-group type = I-43d

7.
Compound: Tm2C5
Source: OQMD via LeMat-Bulk
Functional: PBE-GGA
Structure: optimized geometry

Cell: 4.9063 4.9063 4.9063 Å, 128.10 105.11 97.02°
Atoms (fractional coordinates):
C: 0.7793 0.5000 0.2793
C: 0.6109 0.0000 0.6109
C: 0.0000 0.5000 0.5000
C: 0.2207 0.5000 0.7207
C: 0.3891 0.0000 0.3891
Tm: 0.2486 0.2486 0.0000
Tm: 0.7514 0.7514 0.0000

## Properties
- space-group type = Immm

8.
Compound: Tm3C4
Source: OQMD via LeMat-Bulk
Functional: PBE-GGA
Structure: optimized geometry

Cell: 7.9403 7.9403 15.7699 Å, 90.00 90.00 90.00°
Atoms (fractional coordinates):
C: 0.8068 0.4023 0.1716
C: 0.5000 0.5000 0.6574
C: 0.0000 0.0000 0.4585
C: 0.3068 0.0977 0.3284
C: 0.1062 0.3034 0.0000
C: 0.1932 0.5977 0.1716
C: 0.8034 0.6062 0.5000
C: 0.6499 0.8501 0.7500
C: 0.8501 0.3501 0.2500
C: 0.9023 0.3068 0.3284
C: 0.0000 0.0000 0.1574
C: 0.5000 0.5000 0.9585
C: 0.1499 0.6499 0.7500
C: 0.0977 0.6932 0.6716
C: 0.8068 0.4023 0.8284
C: 0.6932 0.9023 0.3284
C: 0.1499 0.6499 0.2500
C: 0.6499 0.8501 0.2500
C: 0.4023 0.1932 0.8284
C: 0.8938 0.6966 0.0000
C: 0.6932 0.9023 0.6716
C: 0.9023 0.3068 0.6716
C: 0.3501 0.1499 0.2500
C: 0.5977 0.8068 0.8284
C: 0.5000 0.5000 0.3426
C: 0.8501 0.3501 0.7500
C: 0.4023 0.1932 0.1716
C: 0.6062 0.1966 0.5000
C: 0.0977 0.6932 0.3284
C: 0.3068 0.0977 0.6716
C: 0.6966 0.1062 0.0000
C: 0.3501 0.1499 0.7500
C: 0.3034 0.8938 0.0000
C: 0.1966 0.3938 0.5000
C: 0.3938 0.8034 0.5000
C: 0.5000 0.5000 0.0415
C: 0.0000 0.0000 0.5415
C: 0.1932 0.5977 0.8284
C: 0.0000 0.0000 0.8426
C: 0.5977 0.8068 0.1716
Tm: 0.0000 0.0000 0.0000
Tm: 0.2883 0.8995 0.1460
Tm: 0.9042 0.2979 0.5000
Tm: 0.0958 0.7021 0.5000
Tm: 0.7117 0.1005 0.8540
Tm: 0.4042 0.2021 0.0000
Tm: 0.5000 0.5000 0.5000
Tm: 0.7979 0.4042 0.0000
Tm: 0.5000 0.5000 0.8128
Tm: 0.7883 0.6005 0.6460
Tm: 0.2021 0.5958 0.0000
Tm: 0.0000 0.0000 0.3128
Tm: 0.0000 0.0000 0.6872
Tm: 0.3995 0.7883 0.3540
Tm: 0.2117 0.3995 0.6460
Tm: 0.6005 0.2117 0.6460
Tm: 0.1005 0.2883 0.8540
Tm: 0.2883 0.8995 0.8540
Tm: 0.6005 0.2117 0.3540
Tm: 0.1005 0.2883 0.1460
Tm: 0.3995 0.7883 0.6460
Tm: 0.7117 0.1005 0.1460
Tm: 0.2979 0.0958 0.5000
Tm: 0.7021 0.9042 0.5000
Tm: 0.5958 0.7979 0.0000
Tm: 0.2117 0.3995 0.3540
Tm: 0.8995 0.7117 0.1460
Tm: 0.7883 0.6005 0.3540
Tm: 0.8995 0.7117 0.8540
Tm: 0.5000 0.5000 0.1872

## Properties
- space-group type = P4/mnc

Across the entries above, M_tot takes the values 0.00 0.00 0.00 0.00 0.00 0.00 0.00 0.00 μB per atom, respectively.
Across the entries above, energy takes the values -8.76 -7.93 -7.49 -6.83 -7.74 -7.60 -7.50 -7.55 eV/atom, respectively.